# 1
# Cs2KAlP2

Cs2KAlP2 after structural relaxation (PBE, Alexandria via LeMat-Bulk).

a = 9.4716 Å, b = 9.4716 Å, c = 9.4716 Å
α = 132.46°, β = 64.35°, γ = 139.27°
Last column: nearest neighbours and their distance in Å.
Atoms (fractional coordinates):
Cs 0.1750 0.2269 0.4020  3 P 3.43-3.66, 2 Al 3.69
Cs 0.3250 0.7269 0.0519  3 P 3.43-3.66, 2 Al 3.69
Cs 0.6750 0.2731 0.9481  3 P 3.43-3.66, 2 Al 3.69
Cs 0.8250 0.7731 0.5980  3 P 3.43-3.66, 2 Al 3.69
K 0.2500 0.7500 0.5000  4 P 3.24, 2 K 3.30
K 0.7500 0.2500 0.5000  4 P 3.24, 2 K 3.30
Al 0.2500 0.2500 0.0000  4 P 2.47
Al 0.7500 0.7500 0.0000  4 P 2.47
P 0.0790 0.8253 0.9043  2 Al 2.47
P 0.4210 0.3253 0.7462  2 Al 2.47
P 0.5790 0.6747 0.2538  2 Al 2.47
P 0.9210 0.1747 0.0957  2 Al 2.47

Output
raw total energy = -0.248 Ry/atom

=====

# 2
# Cs2K4AlPb2

Cs2K4AlPb2 after structural relaxation (PBE, Alexandria via LeMat-Bulk).

a = 9.0296 Å, b = 9.0296 Å, c = 6.4793 Å
α = 104.26°, β = 104.26°, γ = 58.99°
Last column: nearest neighbours and their distance in Å.
Atoms (fractional coordinates):
Cs 0.1392 0.1392 0.1998  6 K 4.03-4.12, 3 Pb 4.06-4.48, 1 Cs 4.41
Cs 0.8608 0.8608 0.8002  6 K 4.03-4.12, 3 Pb 4.06-4.48, 1 Cs 4.41
K 0.1533 0.5911 0.3120  1 Al 3.77, 3 Pb 3.84-3.91, 2 K 3.89-4.07, 3 Cs 4.03-4.12
K 0.4089 0.8467 0.6880  1 Al 3.77, 3 Pb 3.84-3.91, 2 K 3.89-4.07, 3 Cs 4.03-4.12
K 0.5911 0.1533 0.3120  1 Al 3.77, 3 Pb 3.84-3.91, 2 K 3.89-4.07, 3 Cs 4.03-4.12
K 0.8467 0.4089 0.6880  1 Al 3.77, 3 Pb 3.84-3.91, 2 K 3.89-4.07, 3 Cs 4.03-4.12
Al 0.5000 0.5000 0.0000  2 Pb 2.70
Pb 0.3265 0.3265 0.7795  1 Al 2.70
Pb 0.6735 0.6735 0.2205  1 Al 2.70

Output
raw total energy = -0.144 Ry/atom
DOS(E_F) = 0.316 states/eV per atom

=====

# 3
# Cs4K2AlSb2

Cs4K2AlSb2 after structural relaxation (PBE, Alexandria via LeMat-Bulk).

a = 9.7110 Å, b = 9.7110 Å, c = 6.1690 Å
α = 101.95°, β = 101.95°, γ = 76.53°
Last column: nearest neighbours and their distance in Å.
Atoms (fractional coordinates):
Cs 0.0631 0.6551 0.7907  2 Sb 3.92-4.01, 1 Al 3.99, 2 Cs 4.34-4.39, 1 K 4.36
Cs 0.3449 0.9369 0.2093  2 Sb 3.92-4.01, 1 Al 3.99, 2 Cs 4.34-4.39, 1 K 4.36
Cs 0.6551 0.0631 0.7907  2 Sb 3.92-4.01, 1 Al 3.99, 2 Cs 4.34-4.39, 1 K 4.36
Cs 0.9369 0.3449 0.2093  2 Sb 3.92-4.01, 1 Al 3.99, 2 Cs 4.34-4.39, 1 K 4.36
K 0.3887 0.3887 0.2125  1 Sb 3.89, 1 K 4.21
K 0.6113 0.6113 0.7875  1 Sb 3.89, 1 K 4.21
Al 0.0000 0.0000 0.5000  2 Sb 2.58
Sb 0.1691 0.1691 0.7189  1 Al 2.58
Sb 0.8309 0.8309 0.2811  1 Al 2.58

Output
raw formation energy = -0.15 eV/atom
raw total energy = -0.155 Ry/atom
DOS(E_F) = 0.503 states/eV per atom